Record 1
A plane-wave DFT calculation with PBE was carried out for an optimized crystal structure of MnVIr3.

It has space group Pm-3m (No. 221), with a = 4.518 Å, b = 4.518 Å, c = 4.518 Å, α = 90.00°, β = 90.00° and γ = 90.00°. Symmetry generates all atoms from Mn at (0.000, 0.000, 0.000), V at (0.500, 0.500, 0.500) and Ir at (0.000, 0.500, 0.500).

The crystal system is cubic. Its size of the total moment is 5.0 Bohr magnetons per cell. The calculation puts the energy relative to the elements at 1059 meV per atom. The calculation puts the final energy at -39.58 eV per cell.

Record 2
A plane-wave DFT calculation with PBE was carried out for an optimized crystal structure of MnV4Ir.

It has space group P2/m (No. 10), with a = 4.211 Å, b = 3.813 Å, c = 5.815 Å, α = 90.00°, β = 98.08° and γ = 90.00°. Symmetry generates all atoms from Mn at (0.000, 0.000, 0.000), V at (0.039, 0.500, 0.767), V at (0.485, 0.000, 0.224) and Ir at (0.500, 0.500, 0.500).

The crystal system is monoclinic. Its size of the total moment is 0.0 Bohr magnetons per cell. The calculation puts the energy relative to the elements at 216 meV per atom. The calculation puts the final energy at -53.21 eV per cell.

Record 3
A plane-wave DFT calculation with PBE was carried out for an optimized crystal structure of MnV2Ir2.

It has space group P4/mbm (No. 127), with a = 7.250 Å, b = 7.250 Å, c = 2.822 Å, α = 90.00°, β = 90.00° and γ = 90.00°. Symmetry generates all atoms from Mn at (0.000, 0.000, 0.000), V at (0.163, 0.337, 0.500) and Ir at (0.136, 0.636, 0.000).

The crystal system is tetragonal. Its size of the total moment is 5.1 Bohr magnetons per cell. The calculation puts the energy relative to the elements at -211 meV per atom. The calculation puts the final energy at -92.37 eV per cell.